# ZrTi2Ga8 GGA-PBE optimized geometry
# E: -4.52 eV per atom
# magnetization: 0.00 Bohr magnetons per cell
# ΔE_f: -1.20 eV per formula unit
data_ZrTi2Ga8
_cell_length_a 6.973
_cell_length_b 11.920
_cell_length_c 5.196
_cell_angle_alpha 90.00
_cell_angle_beta 110.40
_cell_angle_gamma 90.00
_symmetry_space_group_name_H-M 'C 1 2/m 1'
_symmetry_Int_Tables_number 12
_symmetry_space_group_name_Hall '-C 2y'
loop_
_atom_site_label
_atom_site_fract_x
_atom_site_fract_y
_atom_site_fract_z
Zr1 0.000 0.000 0.000
Ti1 0.000 0.287 0.500
Ga1 0.000 0.236 0.000
Ga2 0.085 0.500 0.761
Ga3 0.226 0.108 0.684

---

# ZrTi5Ga6 GGA-PBE optimized geometry
# E: -5.84 eV per atom
# magnetization: 0.00 Bohr magnetons per cell
# ΔE_f: -3.95 eV per formula unit
# excess energy over the best structure of this formula in the dataset: 28 meV/atom
data_ZrTi5Ga6
_cell_length_a 5.126
_cell_length_b 12.832
_cell_length_c 6.498
_cell_angle_alpha 90.00
_cell_angle_beta 104.33
_cell_angle_gamma 90.00
_symmetry_space_group_name_H-M 'C 1 2/m 1'
_symmetry_Int_Tables_number 12
_symmetry_space_group_name_Hall '-C 2y'
loop_
_atom_site_label
_atom_site_fract_x
_atom_site_fract_y
_atom_site_fract_z
Zr1 0.000 0.000 0.000
Ti1 0.000 0.000 0.500
Ti2 0.000 0.317 0.000
Ti3 0.000 0.359 0.500
Ga1 0.025 0.173 0.718
Ga2 0.041 0.500 0.213

---

# ZrTiGa2 GGA-PBE optimized geometry
# E: -5.95 eV per atom
# magnetization: 4.68 Bohr magnetons per cell
# ΔE_f: -1.31 eV per formula unit
# excess energy over the best structure of this formula in the dataset: 157 meV/atom
data_ZrTiGa2
_cell_length_a 6.560
_cell_length_b 6.560
_cell_length_c 6.560
_cell_angle_alpha 90.00
_cell_angle_beta 90.00
_cell_angle_gamma 90.00
_symmetry_space_group_name_H-M 'F m -3 m'
_symmetry_Int_Tables_number 225
_symmetry_space_group_name_Hall '-F 4 2 3'
loop_
_atom_site_label
_atom_site_fract_x
_atom_site_fract_y
_atom_site_fract_z
Zr1 0.000 0.000 0.000
Ti1 0.000 0.000 0.500
Ga1 0.250 0.250 0.250

---

# Zr3Ti2Ga3 GGA-PBE optimized geometry
# E: -6.83 eV per atom
# magnetization: 2.06 Bohr magnetons per cell
# ΔE_f: -4.11 eV per formula unit
data_Zr3Ti2Ga3
_cell_length_a 7.9539
_cell_length_b 7.9539
_cell_length_c 5.4911
_cell_angle_alpha 90.00
_cell_angle_beta 90.00
_cell_angle_gamma 120.00
_symmetry_space_group_name_H-M 'P 63/m c m'
_symmetry_Int_Tables_number 193
_symmetry_space_group_name_Hall '-P 6c 2'
loop_
_atom_site_label
_atom_site_fract_x
_atom_site_fract_y
_atom_site_fract_z
Zr1 0.0000 0.2428 0.2500
Ti1 0.3333 0.6667 0.0000
Ga1 0.0000 0.4015 0.7500

---

# Zr4TiGa2 GGA-PBE optimized geometry
# E: -6.92 eV per atom
# magnetization: 0.00 Bohr magnetons per cell
# ΔE_f: -0.32 eV per formula unit
# excess energy over the best structure of this formula in the dataset: 0 meV/atom
data_Zr4TiGa2
_cell_length_a 4.8270
_cell_length_b 4.8270
_cell_length_c 23.1044
_cell_angle_alpha 90.00
_cell_angle_beta 90.00
_cell_angle_gamma 120.00
_symmetry_space_group_name_H-M 'R -3 m'
_symmetry_Int_Tables_number 166
_symmetry_space_group_name_Hall '-R 3 2"'
loop_
_atom_site_label
_atom_site_fract_x
_atom_site_fract_y
_atom_site_fract_z
Zr1 0.0000 0.0000 0.1308
Zr2 0.0000 0.0000 0.2679
Ti1 0.0000 0.0000 0.5000
Ga1 0.0000 0.0000 0.3881

---

# ZrTi3Ga GGA-PBE optimized geometry
# E: -6.50 eV per atom
# magnetization: 2.88 Bohr magnetons per cell
# ΔE_f: 2.76 eV per formula unit
# excess energy over the best structure of this formula in the dataset: 443 meV/atom
data_ZrTi3Ga
_cell_length_a 4.746
_cell_length_b 4.746
_cell_length_c 4.746
_cell_angle_alpha 90.00
_cell_angle_beta 90.00
_cell_angle_gamma 90.00
_symmetry_space_group_name_H-M 'P m -3 m'
_symmetry_Int_Tables_number 221
_symmetry_space_group_name_Hall '-P 4 2 3'
loop_
_atom_site_label
_atom_site_fract_x
_atom_site_fract_y
_atom_site_fract_z
Zr1 0.000 0.000 0.000
Ti1 0.000 0.500 0.500
Ga1 0.500 0.500 0.500

---

# Zr2Ti3Ga4 GGA-PBE optimized geometry
# E: -6.24 eV per atom
# magnetization: 0.00 Bohr magnetons per cell
# ΔE_f: -3.23 eV per formula unit
data_Zr2Ti3Ga4
_cell_length_a 5.750
_cell_length_b 14.767
_cell_length_c 7.675
_cell_angle_alpha 90.00
_cell_angle_beta 90.00
_cell_angle_gamma 90.00
_symmetry_space_group_name_H-M 'C m c e'
_symmetry_Int_Tables_number 64
_symmetry_space_group_name_Hall '-C 2ac 2'
loop_
_atom_site_label
_atom_site_fract_x
_atom_site_fract_y
_atom_site_fract_z
Zr1 0.000 0.113 0.089
Ti1 0.000 0.000 0.500
Ti2 0.250 0.211 0.750
Ga1 0.000 0.181 0.447
Ga2 0.250 0.037 0.750

---

# TlGa3 GGA-PBE optimized geometry
# E: -2.76 eV per atom
# magnetization: 0.00 Bohr magnetons per cell
# ΔE_f: 0.42 eV per formula unit
# excess energy over the best structure of this formula in the dataset: 83 meV/atom
data_TlGa3
_cell_length_a 3.600
_cell_length_b 4.318
_cell_length_c 5.882
_cell_angle_alpha 90.00
_cell_angle_beta 90.00
_cell_angle_gamma 90.00
_symmetry_space_group_name_H-M 'P m m 2'
_symmetry_Int_Tables_number 25
_symmetry_space_group_name_Hall 'P 2 -2'
loop_
_atom_site_label
_atom_site_fract_x
_atom_site_fract_y
_atom_site_fract_z
Tl1 0.000 0.000 0.000
Ga1 0.000 0.500 0.612
Ga2 0.500 0.000 0.529
Ga3 0.500 0.500 0.216